[1]
# YHPb (PBE, optimized geometry)
data_YHPb
_chemical_formula_sum 'Y4 H4 Pb4'
_cell_length_a 10.464
_cell_length_b 3.651
_cell_length_c 6.507
_cell_angle_alpha 90.00
_cell_angle_beta 90.00
_cell_angle_gamma 90.00
_symmetry_space_group_name_H-M 'P n m a'
_symmetry_Int_Tables_number 62
loop_
_symmetry_equiv_pos_as_xyz
'x,y,z'
'-x,-y,-z'
'-x+1/2,-y,z+1/2'
'x+1/2,y,-z+1/2'
'x+1/2,-y+1/2,-z+1/2'
'-x+1/2,y+1/2,z+1/2'
'-x,y+1/2,-z'
'x,-y+1/2,z'
loop_
_atom_site_label
_atom_site_type_symbol
_atom_site_fract_x
_atom_site_fract_y
_atom_site_fract_z
Y1 Y 0.007 0.250 0.231
H1 H 0.040 0.250 0.911
Pb1 Pb 0.235 0.250 0.571
# **Energy relative to the lowest polymorph listed for this composition**: 84 meV per atom


[2]
# YHPb (PBE, optimized geometry)
data_YHPb
_chemical_formula_sum 'Y8 H8 Pb8'
_cell_length_a 10.438
_cell_length_b 7.212
_cell_length_c 6.798
_cell_angle_alpha 90.00
_cell_angle_beta 90.00
_cell_angle_gamma 90.00
_symmetry_space_group_name_H-M 'C m c e'
_symmetry_Int_Tables_number 64
_symmetry_space_group_name_Hall '-C 2ac 2'
loop_
_atom_site_label
_atom_site_type_symbol
_atom_site_fract_x
_atom_site_fract_y
_atom_site_fract_z
Y1 Y 0.000 0.152 0.197
H1 H 0.000 0.127 0.893
Pb1 Pb 0.226 0.000 0.500
# **Energy relative to the lowest polymorph listed for this composition**: 118 meV per atom


[3]
# Y4H2Pb (PBE, optimized geometry)
data_Y4H2Pb
_chemical_formula_sum 'Y16 H8 Pb4'
_cell_length_a 6.851
_cell_length_b 14.934
_cell_length_c 7.169
_cell_angle_alpha 90.00
_cell_angle_beta 118.51
_cell_angle_gamma 90.00
_symmetry_space_group_name_H-M 'C 1 c 1'
_symmetry_Int_Tables_number 9
loop_
_symmetry_equiv_pos_as_xyz
'x,y,z'
'x,-y,z+1/2'
'x+1/2,y+1/2,z'
'x+1/2,-y+1/2,z+1/2'
loop_
_atom_site_label
_atom_site_type_symbol
_atom_site_fract_x
_atom_site_fract_y
_atom_site_fract_z
Y1 Y 0.000 0.010 0.000
Y2 Y 0.007 0.429 0.980
Y3 Y 0.144 0.240 0.290
Y4 Y 0.171 0.179 0.810
H1 H 0.014 0.278 0.951
H2 H 0.209 0.028 0.839
Pb1 Pb 0.188 0.375 0.644
# **DFT total energy**: -5.565 eV per atom


[4]
# Y4H2Pb3 (PBE, optimized geometry)
data_Y4H2Pb3
_chemical_formula_sum 'Y16 H8 Pb12'
_cell_length_a 13.570
_cell_length_b 9.691
_cell_length_c 6.569
_cell_angle_alpha 90.00
_cell_angle_beta 103.58
_cell_angle_gamma 90.00
_symmetry_space_group_name_H-M 'C 1 2/c 1'
_symmetry_Int_Tables_number 15
loop_
_symmetry_equiv_pos_as_xyz
'x,y,z'
'-x,-y,-z'
'-x,y,-z+1/2'
'x,-y,z+1/2'
'x+1/2,y+1/2,z'
'-x+1/2,-y+1/2,-z'
'-x+1/2,y+1/2,-z+1/2'
'x+1/2,-y+1/2,z+1/2'
loop_
_atom_site_label
_atom_site_type_symbol
_atom_site_fract_x
_atom_site_fract_y
_atom_site_fract_z
Y1 Y 0.113 0.229 0.032
Y2 Y 0.195 0.423 0.593
H1 H 0.226 0.367 0.934
Pb1 Pb 0.000 0.489 0.250
Pb2 Pb 0.111 0.109 0.563
# **DFT total energy**: -5.390 eV per atom


[5]
# YHPb (PBE, optimized geometry)
data_YHPb
_chemical_formula_sum 'Y4 H4 Pb4'
_cell_length_a 6.109
_cell_length_b 3.604
_cell_length_c 11.955
_cell_angle_alpha 90.00
_cell_angle_beta 90.00
_cell_angle_gamma 90.00
_symmetry_space_group_name_H-M 'P n m a'
_symmetry_Int_Tables_number 62
loop_
_symmetry_equiv_pos_as_xyz
'x,y,z'
'-x,-y,-z'
'-x+1/2,-y,z+1/2'
'x+1/2,y,-z+1/2'
'x+1/2,-y+1/2,-z+1/2'
'-x+1/2,y+1/2,z+1/2'
'-x,y+1/2,-z'
'x,-y+1/2,z'
loop_
_atom_site_label
_atom_site_type_symbol
_atom_site_fract_x
_atom_site_fract_y
_atom_site_fract_z
Y1 Y 0.231 0.250 0.046
H1 H 0.048 0.750 0.063
Pb1 Pb 0.194 0.250 0.312
# **Energy relative to the lowest polymorph listed for this composition**: 172 meV per atom


[6]
# Y12H5Pb3 (PBE, optimized geometry)
data_Y12H5Pb3
_chemical_formula_sum 'Y96 H40 Pb24'
_cell_length_a 15.738
_cell_length_b 15.738
_cell_length_c 15.738
_cell_angle_alpha 90.00
_cell_angle_beta 90.00
_cell_angle_gamma 90.00
_symmetry_space_group_name_H-M 'I a -3 d'
_symmetry_Int_Tables_number 230
_symmetry_space_group_name_Hall '-I 4bd 2c 3'
loop_
_atom_site_label
_atom_site_type_symbol
_atom_site_fract_x
_atom_site_fract_y
_atom_site_fract_z
Y1 Y 0.043 0.054 0.651
H1 H 0.000 0.000 0.000
H2 H 0.000 0.250 0.375
Pb1 Pb 0.000 0.250 0.125
# **DFT total energy**: -5.563 eV per atom


[7]
# Y5HPb4 (PBE, optimized geometry)
data_Y5HPb4
_chemical_formula_sum 'Y10 H2 Pb8'
_cell_length_a 9.672
_cell_length_b 9.672
_cell_length_c 6.251
_cell_angle_alpha 90.00
_cell_angle_beta 90.00
_cell_angle_gamma 90.00
_symmetry_space_group_name_H-M 'I 4'
_symmetry_Int_Tables_number 79
loop_
_symmetry_equiv_pos_as_xyz
'x,y,z'
'-y,x,z'
'-x,-y,z'
'y,-x,z'
'x+1/2,y+1/2,z+1/2'
'-y+1/2,x+1/2,z+1/2'
'-x+1/2,-y+1/2,z+1/2'
'y+1/2,-x+1/2,z+1/2'
loop_
_atom_site_label
_atom_site_type_symbol
_atom_site_fract_x
_atom_site_fract_y
_atom_site_fract_z
Y1 Y 0.000 0.000 0.000
Y2 Y 0.099 0.284 0.438
H1 H 0.000 0.000 0.371
Pb1 Pb 0.092 0.302 0.936
# **DFT total energy**: -5.361 eV per atom


[8]
# YHPb (PBE, optimized geometry)
data_YHPb
_chemical_formula_sum 'Y1 H1 Pb1'
_cell_length_a 3.6757
_cell_length_b 3.6757
_cell_length_c 5.1907
_cell_angle_alpha 90.00
_cell_angle_beta 90.00
_cell_angle_gamma 120.00
_symmetry_space_group_name_H-M 'P 3 m 1'
_symmetry_Int_Tables_number 156
loop_
_symmetry_equiv_pos_as_xyz
'x,y,z'
'-y,x-y,z'
'-x+y,-x,z'
'-y,-x,z'
'-x+y,y,z'
'x,x-y,z'
loop_
_atom_site_label
_atom_site_type_symbol
_atom_site_fract_x
_atom_site_fract_y
_atom_site_fract_z
Y1 Y 0.0000 0.0000 0.0000
H1 H 0.3333 0.6667 0.9989
Pb1 Pb 0.6667 0.3333 0.4999
# **Energy relative to the lowest polymorph listed for this composition**: 0 meV per atom


[9]
# Y5HPb2 (PBE, optimized geometry)
data_Y5HPb2
_chemical_formula_sum 'Y10 H2 Pb4'
_cell_length_a 6.991
_cell_length_b 6.991
_cell_length_c 9.021
_cell_angle_alpha 90.00
_cell_angle_beta 90.00
_cell_angle_gamma 90.00
_symmetry_space_group_name_H-M 'I 4 m m'
_symmetry_Int_Tables_number 107
_symmetry_space_group_name_Hall 'I 4 -2'
loop_
_atom_site_label
_atom_site_type_symbol
_atom_site_fract_x
_atom_site_fract_y
_atom_site_fract_z
Y1 Y 0.000 0.000 0.000
Y2 Y 0.249 0.249 0.255
H1 H 0.000 0.000 0.753
Pb1 Pb 0.000 0.500 0.005
# **DFT total energy**: -5.665 eV per atom


[10]
# Y5H2Pb5 (PBE, optimized geometry)
data_Y5H2Pb5
_chemical_formula_sum 'Y10 H4 Pb10'
_cell_length_a 11.548
_cell_length_b 4.419
_cell_length_c 11.585
_cell_angle_alpha 90.00
_cell_angle_beta 92.90
_cell_angle_gamma 90.00
_symmetry_space_group_name_H-M 'C 1 2/m 1'
_symmetry_Int_Tables_number 12
loop_
_symmetry_equiv_pos_as_xyz
'x,y,z'
'-x,-y,-z'
'-x,y,-z'
'x,-y,z'
'x+1/2,y+1/2,z'
'-x+1/2,-y+1/2,-z'
'-x+1/2,y+1/2,-z'
'x+1/2,-y+1/2,z'
loop_
_atom_site_label
_atom_site_type_symbol
_atom_site_fract_x
_atom_site_fract_y
_atom_site_fract_z
Y1 Y 0.000 0.000 0.000
Y2 Y 0.065 0.000 0.316
Y3 Y 0.153 0.500 0.816
H1 H 0.077 0.000 0.827
Pb1 Pb 0.000 0.500 0.500
Pb2 Pb 0.148 0.500 0.122
Pb3 Pb 0.222 0.000 0.611
# **DFT total energy**: -5.273 eV per atom


[11]
# YH3Pb (PBE, optimized geometry)
data_YH3Pb
_chemical_formula_sum 'Y1 H3 Pb1'
_cell_length_a 4.180
_cell_length_b 4.180
_cell_length_c 4.180
_cell_angle_alpha 90.00
_cell_angle_beta 90.00
_cell_angle_gamma 90.00
_symmetry_space_group_name_H-M 'P m -3 m'
_symmetry_Int_Tables_number 221
_symmetry_space_group_name_Hall '-P 4 2 3'
loop_
_atom_site_label
_atom_site_type_symbol
_atom_site_fract_x
_atom_site_fract_y
_atom_site_fract_z
Y1 Y 0.000 0.000 0.000
H1 H 0.000 0.000 0.500
Pb1 Pb 0.500 0.500 0.500
# **Energy relative to the lowest polymorph listed for this composition**: 0 meV per atom


[12]
# YHPb (PBE, optimized geometry)
data_YHPb
_chemical_formula_sum 'Y2 H2 Pb2'
_cell_length_a 3.588
_cell_length_b 5.599
_cell_length_c 6.367
_cell_angle_alpha 86.21
_cell_angle_beta 73.69
_cell_angle_gamma 89.92
_symmetry_space_group_name_H-M 'P -1'
_symmetry_Int_Tables_number 2
loop_
_symmetry_equiv_pos_as_xyz
'x,y,z'
'-x,-y,-z'
loop_
_atom_site_label
_atom_site_type_symbol
_atom_site_fract_x
_atom_site_fract_y
_atom_site_fract_z
Y1 Y 0.138 0.347 0.226
H1 H 0.269 0.624 0.961
Pb1 Pb 0.397 0.157 0.702
# **Energy relative to the lowest polymorph listed for this composition**: 79 meV per atom


[13]
# YH3Pb (PBE, optimized geometry)
data_YH3Pb
_chemical_formula_sum 'Y1 H3 Pb1'
_cell_length_a 4.199
_cell_length_b 4.199
_cell_length_c 4.199
_cell_angle_alpha 90.00
_cell_angle_beta 90.00
_cell_angle_gamma 90.00
_symmetry_space_group_name_H-M 'P m -3 m'
_symmetry_Int_Tables_number 221
_symmetry_space_group_name_Hall '-P 4 2 3'
loop_
_atom_site_label
_atom_site_type_symbol
_atom_site_fract_x
_atom_site_fract_y
_atom_site_fract_z
Y1 Y 0.000 0.000 0.000
H1 H 0.000 0.500 0.500
Pb1 Pb 0.500 0.500 0.500
# **Energy relative to the lowest polymorph listed for this composition**: 588 meV per atom


[14]
# YHPb (PBE, optimized geometry)
data_YHPb
_chemical_formula_sum 'Y4 H4 Pb4'
_cell_length_a 5.668
_cell_length_b 7.415
_cell_length_c 6.068
_cell_angle_alpha 90.00
_cell_angle_beta 90.00
_cell_angle_gamma 90.00
_symmetry_space_group_name_H-M 'I m m a'
_symmetry_Int_Tables_number 74
_symmetry_space_group_name_Hall '-I 2b 2'
loop_
_atom_site_label
_atom_site_type_symbol
_atom_site_fract_x
_atom_site_fract_y
_atom_site_fract_z
Y1 Y 0.000 0.000 0.000
H1 H 0.000 0.250 0.148
Pb1 Pb 0.000 0.250 0.529
# **Energy relative to the lowest polymorph listed for this composition**: 339 meV per atom


[15]
# Y6HPb3 (PBE, optimized geometry)
data_Y6HPb3
_chemical_formula_sum 'Y24 H4 Pb12'
_cell_length_a 13.110
_cell_length_b 16.350
_cell_length_c 4.885
_cell_angle_alpha 90.00
_cell_angle_beta 90.00
_cell_angle_gamma 90.00
_symmetry_space_group_name_H-M 'C m c 21'
_symmetry_Int_Tables_number 36
loop_
_symmetry_equiv_pos_as_xyz
'x,y,z'
'-x,-y,z+1/2'
'-x,y,z'
'x,-y,z+1/2'
'x+1/2,y+1/2,z'
'-x+1/2,-y+1/2,z+1/2'
'-x+1/2,y+1/2,z'
'x+1/2,-y+1/2,z+1/2'
loop_
_atom_site_label
_atom_site_type_symbol
_atom_site_fract_x
_atom_site_fract_y
_atom_site_fract_z
Y1 Y 0.000 0.075 0.000
Y2 Y 0.000 0.252 0.500
Y3 Y 0.168 0.251 0.000
Y4 Y 0.168 0.423 0.500
H1 H 0.000 0.211 0.998
Pb1 Pb 0.000 0.404 0.000
Pb2 Pb 0.165 0.099 0.500
# **DFT total energy**: -5.780 eV per atom


[16]
# YZnHPb2 (PBE, optimized geometry)
data_YZnHPb2
_chemical_formula_sum 'Y1 Zn1 H1 Pb2'
_cell_length_a 5.225
_cell_length_b 5.225
_cell_length_c 6.151
_cell_angle_alpha 90.00
_cell_angle_beta 90.00
_cell_angle_gamma 90.00
_symmetry_space_group_name_H-M 'P 4/m m m'
_symmetry_Int_Tables_number 123
_symmetry_space_group_name_Hall '-P 4 2'
loop_
_atom_site_label
_atom_site_type_symbol
_atom_site_fract_x
_atom_site_fract_y
_atom_site_fract_z
Y1 Y 0.000 0.000 0.000
Zn1 Zn 0.000 0.000 0.500
H1 H 0.500 0.500 0.000
Pb1 Pb 0.000 0.500 0.500
# **DFT total energy**: -2.987 eV per atom


[17]
# Y2ZnHPb (PBE, optimized geometry)
data_Y2ZnHPb
_chemical_formula_sum 'Y2 Zn1 H1 Pb1'
_cell_length_a 4.849
_cell_length_b 4.849
_cell_length_c 4.349
_cell_angle_alpha 90.00
_cell_angle_beta 90.00
_cell_angle_gamma 90.00
_symmetry_space_group_name_H-M 'P 4/m m m'
_symmetry_Int_Tables_number 123
_symmetry_space_group_name_Hall '-P 4 2'
loop_
_atom_site_label
_atom_site_type_symbol
_atom_site_fract_x
_atom_site_fract_y
_atom_site_fract_z
Y1 Y 0.000 0.500 0.000
Zn1 Zn 0.000 0.000 0.500
H1 H 0.000 0.000 0.000
Pb1 Pb 0.500 0.500 0.500
# **DFT total energy**: -4.590 eV per atom


[18]
# Y2ZrHPb (PBE, optimized geometry)
data_Y2ZrHPb
_chemical_formula_sum 'Y2 Zr1 H1 Pb1'
_cell_length_a 4.820
_cell_length_b 4.820
_cell_length_c 4.582
_cell_angle_alpha 90.00
_cell_angle_beta 90.00
_cell_angle_gamma 90.00
_symmetry_space_group_name_H-M 'P 4/m m m'
_symmetry_Int_Tables_number 123
_symmetry_space_group_name_Hall '-P 4 2'
loop_
_atom_site_label
_atom_site_type_symbol
_atom_site_fract_x
_atom_site_fract_y
_atom_site_fract_z
Y1 Y 0.000 0.500 0.000
Zr1 Zr 0.000 0.000 0.500
H1 H 0.000 0.000 0.000
Pb1 Pb 0.500 0.500 0.500
# **DFT total energy**: -6.036 eV per atom


[19]
# Zn2HPb (PBE, optimized geometry)
data_Zn2HPb
_chemical_formula_sum 'Zn8 H4 Pb4'
_cell_length_a 4.892
_cell_length_b 4.892
_cell_length_c 11.904
_cell_angle_alpha 90.00
_cell_angle_beta 90.00
_cell_angle_gamma 90.00
_symmetry_space_group_name_H-M 'I -4 2 d'
_symmetry_Int_Tables_number 122
_symmetry_space_group_name_Hall 'I -4 2bw'
loop_
_atom_site_label
_atom_site_type_symbol
_atom_site_fract_x
_atom_site_fract_y
_atom_site_fract_z
Zn1 Zn 0.033 0.250 0.125
H1 H 0.000 0.000 0.000
Pb1 Pb 0.000 0.000 0.500
# **Energy relative to the lowest polymorph listed for this composition**: 0 meV per atom


[20]
# ZnH2Pb2 (PBE, optimized geometry)
data_ZnH2Pb2
_chemical_formula_sum 'Zn2 H4 Pb4'
_cell_length_a 3.596
_cell_length_b 3.596
_cell_length_c 14.005
_cell_angle_alpha 90.00
_cell_angle_beta 90.00
_cell_angle_gamma 90.00
_symmetry_space_group_name_H-M 'I 4/m m m'
_symmetry_Int_Tables_number 139
_symmetry_space_group_name_Hall '-I 4 2'
loop_
_atom_site_label
_atom_site_type_symbol
_atom_site_fract_x
_atom_site_fract_y
_atom_site_fract_z
Zn1 Zn 0.000 0.000 0.000
H1 H 0.000 0.500 0.250
Pb1 Pb 0.000 0.000 0.358
# **DFT total energy**: -2.675 eV per atom


The total magnetic moment results, record by record, are as follows: 0.00 0.00 0.00 0.00 0.00 0.00 0.00 0.00 3.07 0.00 0.00 0.00 0.00 0.00 3.75 0.00 0.00 0.00 0.00 0.00 μB/cell.
The theoretical density results, record by record, are as follows: 7.939 7.713 5.820 7.746 7.498 5.771 7.237 8.123 6.477 8.339 6.800 8.057 6.710 7.738 7.333 5.634 7.331 7.446 7.905 8.835 g/cm³.